Material: Ba5Zn
Method: DFT, PBEsol
State: relaxed

Computed properties:
SG	No. 12
VASP energy	-2.083	eV/atom

```
Ba5Zn
1.0
7.3170 -2.0843 0.0000
7.3170 2.0843 0.0000
-4.1311 0.0000 9.5604
Ba Zn
5 1
Direct
0.0000 0.0000 0.0000
0.3368 0.3368 0.2263
0.3732 0.3732 0.6265
0.6268 0.6268 0.3735
0.6632 0.6632 0.7737
0.0000 0.0000 0.5000
```



Material: Ba2Zn
Method: DFT, PBEsol
State: relaxed

Computed properties:
SG	No. 140
VASP energy	-2.011	eV/atom

```
Ba2Zn
1.0
-4.0205 4.0205 3.7675
4.0205 -4.0205 3.7675
4.0205 4.0205 -3.7675
Ba Zn
4 2
Direct
0.1907 0.6907 0.8815
0.3093 0.1907 0.5000
0.6907 0.8093 0.5000
0.8093 0.3093 0.1185
0.2500 0.2500 0.0000
0.7500 0.7500 0.0000
```



Material: Ba4Zn3
Method: DFT, PBEsol
State: relaxed

Computed properties:
SG	No. 139
VASP energy	-1.959	eV/atom

```
Ba4Zn3
1.0
-2.0212 2.0212 15.8473
2.0212 -2.0212 15.8473
2.0212 2.0212 -15.8473
Ba Zn
4 3
Direct
0.0595 0.0595 0.0000
0.3276 0.3276 0.0000
0.6724 0.6724 0.0000
0.9405 0.9405 0.0000
0.2277 0.2277 0.0000
0.5000 0.5000 0.0000
0.7723 0.7723 0.0000
```



Material: Ba2Zn
Method: DFT, PBEsol
State: relaxed

Computed properties:
SG	No. 227
VASP energy	-1.364	eV/atom

```
Ba2Zn
1.0
0.0000 4.9909 4.9909
4.9909 0.0000 4.9909
4.9909 4.9909 0.0000
Ba Zn
4 2
Direct
0.0000 0.0000 0.0000
0.0000 0.0000 0.5000
0.0000 0.5000 0.0000
0.5000 0.0000 0.0000
0.3750 0.3750 0.3750
0.6250 0.6250 0.6250
```